A relaxed structure of AcGd2Pu. Source: the Alexandria database, functional PBE.

Values from the calculation:
Its formation enthalpy at 0 K is 1.02 eV/f.u. The energy above the lowest structure with this stoichiometry is 121.5 meV/atom. The total energy is -11.394 eV per atom.

Cell lengths 5.7979, 5.7979, 5.7979 Å; angles 60.00, 60.00, 60.00 degrees
Closest atoms and distances in Å follow each position.
Element x y z (fractional)
Ac 0.0000 0.0000 0.0000  8 Gd 3.55
Gd 0.2500 0.2500 0.2500  4 Ac 3.55, 4 Pu 3.55
Gd 0.7500 0.7500 0.7500  4 Pu 3.55, 4 Ac 3.55
Pu 0.5000 0.5000 0.5000  8 Gd 3.55